[1]
Na4Cr3TeO8: optimized geometry, PBE+U.

Unit cell a=6.3746 b=6.5444 c=6.3746 alpha=119.15 beta=120.00 gamma=90.00
Site moments in Bohr magnetons follow the coordinates.
Positions (direct):
Te 0.0000 0.5000 0.0000  0.10
O 0.2692 0.3077 0.5384  -0.06
O 0.7195 0.7036 0.9615  -0.03
Na 0.0000 0.0000 0.5000  0.00
O 0.7580 0.2964 0.5159  -0.03
O 0.7580 0.2964 0.0385  -0.03
O 0.2805 0.2964 0.0385  -0.03
O 0.7308 0.6923 0.4616  -0.06
Na 0.5000 0.0000 0.0000  0.00
Cr 0.5000 0.5000 0.0000  3.25
Cr 0.5000 0.5000 0.5000  3.25
O 0.2420 0.7036 0.9615  -0.03
Na 0.0000 0.0000 0.0000  0.00
Na 0.5000 0.0000 0.5000  0.00
Cr 0.0000 0.5000 0.5000  3.25
O 0.2420 0.7036 0.4841  -0.03

## Properties
N(E_F) ... 1.0 states/eV per cell
Uncorrected energy ... -6.010 eV/atom
Total moment ... 10.00 Bohr magnetons per cell
Theoretical density ... 4.39 g/cm³

***

[2]
NaThCr2O8: optimized geometry, PBE+U.

Unit cell a=6.1014 b=6.1014 c=6.1014 alpha=106.39 beta=106.39 gamma=115.82
Site moments in Bohr magnetons follow the coordinates.
Positions (direct):
O 0.9041 0.2115 0.3073  -0.03
Na 0.2500 0.7500 0.5000  0.00
O 0.7885 0.0959 0.6927  -0.03
Cr 0.7500 0.2500 0.5000  1.07
O 0.9041 0.5968 0.6927  -0.03
O 0.4856 0.6622 0.8233  0.00
Th 0.0000 0.0000 0.0000  0.01
Cr 0.5000 0.5000 0.0000  0.01
O 0.3378 0.5144 0.1767  0.00
O 0.4032 0.0959 0.3073  -0.03
O 0.3378 0.1611 0.8233  0.00
O 0.8389 0.6622 0.1767  0.00

## Properties
Uncorrected energy ... -7.283 eV/atom
Total moment ... 1.00 Bohr magnetons per cell
Theoretical density ... 4.67 g/cm³

***

[3]
NaThCrO4: optimized geometry, PBE+U.

Unit cell a=6.2790 b=6.6476 c=7.3496 alpha=123.56 beta=90.00 gamma=118.18
Site moments in Bohr magnetons follow the coordinates.
Positions (direct):
Cr 0.5000 0.5000 0.5000  2.99
Th 0.5000 0.0000 0.0000  0.02
O 0.2517 0.5035 0.6900  -0.03
O 0.7007 0.9550 0.7275  -0.01
O 0.7483 0.4965 0.3100  -0.03
O 0.7457 0.0450 0.2725  -0.01
Na 0.8732 0.7463 0.1232  0.00
O 0.2543 0.9550 0.7275  -0.01
O 0.2517 0.5035 0.3135  -0.03
O 0.2993 0.0450 0.2725  -0.01
Th 0.5000 0.0000 0.5000  0.02
Cr 0.0000 0.5000 0.5000  2.99
Na 0.1268 0.2537 0.8768  0.00
O 0.7483 0.4965 0.6865  -0.03

## Properties
N(E_F) ... 0.0 states/eV per cell
Uncorrected energy ... -7.707 eV/atom
Total moment ... 6.00 Bohr magnetons per cell
Theoretical density ... 5.85 g/cm³

***

[4]
Na3TiCr3O8: optimized geometry, PBE+U.

Unit cell a=6.0242 b=6.0244 c=6.4997 alpha=117.61 beta=90.00 gamma=120.00
Site moments in Bohr magnetons follow the coordinates.
Positions (direct):
Na 0.0000 0.0000 0.0000  0.00
O 0.2253 0.4506 0.6905  -0.03
O 0.2688 0.5375 0.3063  -0.03
Cr 0.5000 0.0000 0.5000  3.00
Na 0.5000 0.5000 0.0000  0.00
O 0.2602 0.0349 0.3095  -0.03
O 0.2253 0.9651 0.6905  -0.03
O 0.7398 0.9651 0.6905  -0.03
Cr 0.0000 0.5000 0.5000  3.00
O 0.7747 0.5494 0.3095  -0.03
O 0.7312 0.4625 0.6937  -0.03
Na 0.0000 0.5000 0.0000  0.00
Cr 0.5000 0.5000 0.5000  3.00
O 0.7747 0.0349 0.3095  -0.03
Ti 0.0000 0.0000 0.5000  0.03

## Properties
N(E_F) ... 0.0 states/eV per cell
Uncorrected energy ... -7.079 eV/atom
Total moment ... 9.00 Bohr magnetons per cell
Theoretical density ... 3.86 g/cm³

***

Q: What is the uncorrected energy in the third record?
A: -7.707 eV/atom

***

Q: Among the records above, which one has the lowest total moment?
A: NaThCr2O8

***

Q: Which value of total moment does entry 1 give?
A: 10.00 Bohr magnetons per cell

***

Repeat the fourth record exactly.
Na3TiCr3O8: optimized geometry, PBE+U.

Unit cell a=6.0242 b=6.0244 c=6.4997 alpha=117.61 beta=90.00 gamma=120.00
Site moments in Bohr magnetons follow the coordinates.
Positions (direct):
Na 0.0000 0.0000 0.0000  0.00
O 0.2253 0.4506 0.6905  -0.03
O 0.2688 0.5375 0.3063  -0.03
Cr 0.5000 0.0000 0.5000  3.00
Na 0.5000 0.5000 0.0000  0.00
O 0.2602 0.0349 0.3095  -0.03
O 0.2253 0.9651 0.6905  -0.03
O 0.7398 0.9651 0.6905  -0.03
Cr 0.0000 0.5000 0.5000  3.00
O 0.7747 0.5494 0.3095  -0.03
O 0.7312 0.4625 0.6937  -0.03
Na 0.0000 0.5000 0.0000  0.00
Cr 0.5000 0.5000 0.5000  3.00
O 0.7747 0.0349 0.3095  -0.03
Ti 0.0000 0.0000 0.5000  0.03

## Properties
N(E_F) ... 0.0 states/eV per cell
Uncorrected energy ... -7.079 eV/atom
Total moment ... 9.00 Bohr magnetons per cell
Theoretical density ... 3.86 g/cm³